# Li2CdP4O12, optimized geometry, DFT PBE
# Magnetization: 0.000 μB per atom
# E_tot: -6.651 eV per atom
# Raw formation energy: -2.13 eV per atom
# Crystal system: orthorhombic
data_Li2CdP4O12
_symmetry_space_group_name_H-M 'P n m a'
_symmetry_Int_Tables_number 62
_cell_length_a 9.6617
_cell_length_b 9.5148
_cell_length_c 10.4228
_cell_angle_alpha 90.00
_cell_angle_beta 90.00
_cell_angle_gamma 90.00
loop_
_symmetry_equiv_pos_as_xyz
'x,y,z'
'-x,-y,-z'
'-x+1/2,-y,z+1/2'
'x+1/2,y,-z+1/2'
'x+1/2,-y+1/2,-z+1/2'
'-x+1/2,y+1/2,z+1/2'
'-x,y+1/2,-z'
'x,-y+1/2,z'
loop_
_atom_site_label
_atom_site_type_symbol
_atom_site_fract_x
_atom_site_fract_y
_atom_site_fract_z
Li1 Li 0.0040 0.1030 0.1838
Cd1 Cd 0.0104 0.2500 0.8024
P1 P 0.1992 0.7500 0.6024
P2 P 0.2092 0.5317 0.3907
P3 P 0.2330 0.2500 0.5181
O1 O 0.1014 0.7500 0.7141
O2 O 0.1108 0.7500 0.0124
O3 O 0.1143 0.5597 0.2789
O4 O 0.1364 0.0487 0.8762
O5 O 0.1477 0.2500 0.1264
O6 O 0.1547 0.6181 0.5137
O7 O 0.1654 0.2500 0.6460
O8 O 0.1715 0.1251 0.4318